[1]
A geometry-optimized LiSm2Be structure. Source: the Alexandria database, functional PBE.

Cell lengths 3.5685, 3.5685, 7.5494 Å; angles 90.00, 90.00, 90.00 degrees
Closest atoms and distances in Å follow each position.
Element x y z (fractional)
Li1 0.0000 0.0000 0.0000  8 Sm 3.33, 4 Li 3.57
Sm1 0.5000 0.5000 0.2878  4 Be 2.99, 1 Sm 3.20, 4 Li 3.33
Sm2 0.5000 0.5000 0.7122  4 Be 2.99, 1 Sm 3.20, 4 Li 3.33
Be1 0.0000 0.0000 0.5000  8 Sm 2.99

Its space group is No. 123. The relative energy among the computed polymorphs is 0 meV/atom. The formation energy is 112 meV/atom.

***

[2]
A geometry-optimized NpGe2P2Pd7 structure. Source: the Alexandria database, functional PBE.

Cell lengths 4.1135, 4.1135, 12.3394 Å; angles 95.69, 95.69, 89.53 degrees
Closest atoms and distances in Å follow each position.
Element x y z (fractional)
Np1 0.0000 0.0000 0.0000  12 Pd 2.90-3.00
Ge1 0.0537 0.0537 0.3414  4 Pd 2.46-2.74
Ge2 0.9463 0.9463 0.6586  4 Pd 2.46-2.74
P1 0.4205 0.4205 0.7141  5 Pd 2.35-2.46
P2 0.5795 0.5795 0.2859  5 Pd 2.35-2.46
Pd1 0.0522 0.5550 0.1774  2 P 2.43-2.46
Pd2 0.2708 0.2708 0.5272  1 P 2.35, 1 Ge 2.46
Pd3 0.4450 0.9478 0.8226  2 P 2.43-2.46
Pd4 0.5000 0.5000 0.0000  4 Np 2.90-2.92, 8 Pd 2.99
Pd5 0.5550 0.0522 0.1774  2 P 2.43-2.46
Pd6 0.7292 0.7292 0.4728  1 P 2.35, 1 Ge 2.46
Pd7 0.9478 0.4450 0.8226  2 P 2.43-2.46

Its space group is No. 12. The formation energy is -266 meV/atom.

***

[3]
A geometry-optimized Ta2CdRh structure. Source: the Alexandria database, functional PBE.

Cell lengths 9.8848, 9.8848, 9.8848 Å; angles 16.83, 16.83, 16.83 degrees
Closest atoms and distances in Å follow each position.
Element x y z (fractional)
Ta1 0.2432 0.2432 0.2432  3 Rh 2.79, 6 Ta 2.89, 3 Cd 3.12
Ta2 0.7568 0.7568 0.7568  3 Rh 2.79, 6 Ta 2.89, 3 Cd 3.12
Cd1 0.0000 0.0000 0.0000  6 Cd 2.89, 6 Ta 3.12
Rh1 0.5000 0.5000 0.5000  6 Ta 2.79, 6 Rh 2.89

Its space group is No. 166. The formation energy is 32 meV/atom.

***

[4]
A geometry-optimized TlNiW3 structure. Source: the Alexandria database, functional PBE.

Cell lengths 4.9213, 4.9213, 4.9213 Å; angles 90.00, 90.00, 90.00 degrees
Closest atoms and distances in Å follow each position.
Element x y z (fractional)
Tl1 0.0000 0.0000 0.0000  6 W 2.46
Ni1 0.5000 0.5000 0.5000  12 W 3.48
W1 0.0000 0.0000 0.5000  2 Tl 2.46
W2 0.0000 0.5000 0.0000  2 Tl 2.46
W3 0.5000 0.0000 0.0000  2 Tl 2.46

Its space group is No. 221. The relative energy among the computed polymorphs is 1953 meV/atom. The formation energy is 3515 meV/atom.

***

[5]
A geometry-optimized BeRe2Ru structure. Source: the Alexandria database, functional PBE.

Cell lengths 4.9530, 4.9530, 4.9530 Å; angles 144.80, 129.94, 62.67 degrees
Closest atoms and distances in Å follow each position.
Element x y z (fractional)
Be1 0.0000 0.0000 0.0000  4 Re 2.51, 4 Ru 2.58
Re1 0.2376 0.7376 0.5000  2 Be 2.51, 4 Re 2.58, 2 Ru 2.68
Re2 0.7624 0.2624 0.5000  2 Be 2.51, 4 Re 2.58, 2 Ru 2.68
Ru1 0.5000 0.5000 0.0000  4 Be 2.58, 4 Re 2.68

Its space group is No. 71. The relative energy among the computed polymorphs is 47 meV/atom. The formation energy is -23 meV/atom.

***

[6]
A geometry-optimized DyYCdPd structure. Source: the Alexandria database, functional PBE.

Cell lengths 5.1293, 5.1293, 5.1293 Å; angles 60.00, 60.00, 60.00 degrees
Closest atoms and distances in Å follow each position.
Element x y z (fractional)
Dy1 0.0000 0.0000 0.0000  4 Cd 3.14, 4 Pd 3.14
Y1 0.5000 0.5000 0.5000  4 Cd 3.14, 4 Pd 3.14
Cd1 0.7500 0.7500 0.7500  4 Dy 3.14, 4 Y 3.14
Pd1 0.2500 0.2500 0.2500  4 Dy 3.14, 4 Y 3.14

Its space group is No. 216. The relative energy among the computed polymorphs is 53 meV/atom. The formation energy is -555 meV/atom.

***

[7]
A geometry-optimized Pu2AlSi4Ni3 structure. Source: the Alexandria database, functional PBE.

Cell lengths 3.9730, 3.9730, 9.9047 Å; angles 90.00, 90.00, 90.00 degrees
Closest atoms and distances in Å follow each position.
Element x y z (fractional)
Pu1 0.0000 0.5000 0.2401  8 Si 3.01-3.10, 6 Ni 3.06-3.25, 2 Al 3.25
Pu2 0.5000 0.0000 0.7599  8 Si 3.01-3.10, 6 Ni 3.06-3.25, 2 Al 3.25
Al1 0.0000 0.0000 0.5000  4 Si 2.48
Si1 0.0000 0.0000 0.0000  4 Ni 2.31
Si2 0.0000 0.5000 0.6496  3 Ni 2.29-2.48, 2 Al 2.48
Si3 0.5000 0.0000 0.3504  3 Ni 2.29-2.48, 2 Al 2.48
Si4 0.5000 0.5000 0.0000  4 Ni 2.31
Ni1 0.0000 0.5000 0.8811  5 Si 2.29-2.31
Ni2 0.5000 0.0000 0.1189  5 Si 2.29-2.31
Ni3 0.5000 0.5000 0.5000  4 Si 2.48

Its space group is No. 115. As for the uncorrected formation energy: -60 kJ per mole of atoms.

***

[8]
A geometry-optimized Ag2SbSe structure. Source: the Alexandria database, functional PBE.

Cell lengths 2.9916, 4.1645, 7.1801 Å; angles 90.00, 90.00, 90.00 degrees
Closest atoms and distances in Å follow each position.
Element x y z (fractional)
Ag1 0.0000 0.0000 0.0000  4 Se 2.90, 6 Ag 2.99-3.00, 1 Sb 3.09
Ag2 0.5000 0.5000 0.2177  1 Se 2.92, 4 Sb 2.98, 6 Ag 2.99-3.00
Sb1 0.0000 0.0000 0.4303  5 Ag 2.98-3.09, 2 Sb 2.99
Se1 0.5000 0.5000 0.8112  5 Ag 2.90-2.92, 2 Se 2.99

Its space group is No. 25. As for the uncorrected formation energy: 7 kJ per mole of atoms.

***

[9]
A geometry-optimized LiAlGa2H structure. Source: the Alexandria database, functional PBE.

Cell lengths 4.3259, 4.3259, 3.8096 Å; angles 90.00, 90.00, 90.00 degrees
Closest atoms and distances in Å follow each position.
Element x y z (fractional)
Li1 0.0000 0.0000 0.0000  2 H 1.90
Al1 0.5000 0.5000 0.0000  8 Ga 2.88, 4 Li 3.06
Ga1 0.0000 0.5000 0.5000  2 H 2.16
Ga2 0.5000 0.0000 0.5000  2 H 2.16
H1 0.0000 0.0000 0.5000  2 Li 1.90

Its space group is No. 123.

***

[10]
A geometry-optimized CuAuN2 structure. Source: the Alexandria database, functional PBE.

Cell lengths 6.2772, 6.2772, 6.2772 Å; angles 27.57, 27.57, 27.57 degrees
Closest atoms and distances in Å follow each position.
Element x y z (fractional)
Cu1 0.0000 0.0000 0.0000  6 N 1.98
Au1 0.5000 0.5000 0.5000  2 N 2.05
N1 0.3869 0.3869 0.3869  3 Cu 1.98, 1 Au 2.05
N2 0.6131 0.6131 0.6131  3 Cu 1.98, 1 Au 2.05

Its space group is No. 166. The relative energy among the computed polymorphs is 0 meV/atom. As for the uncorrected formation energy: 102 kJ per mole of atoms.

***

Number 1: electronic total energy -14.631 eV for the cell shown. Number 2: electronic total energy -72.538 eV for the cell shown. Number 3: electronic total energy -31.846 eV for the cell shown. Number 4: electronic total energy -29.433 eV for the cell shown. Number 5: electronic total energy -37.992 eV for the cell shown. Number 6: electronic total energy -19.393 eV for the cell shown. Number 7: electronic total energy -77.615 eV for the cell shown. Number 8: electronic total energy -12.999 eV for the cell shown. Number 9: electronic total energy -14.932 eV for the cell shown. Number 10: electronic total energy -19.780 eV for the cell shown.